The following is a GGA-PBE calculation of Gd2CoCuN2 after structural relaxation, from OQMD.

Computed properties:
- Magnetization: 0.002 Bohr magnetons per cell
- DFT total energy: -6.952 eV per atom

Lattice parameters (Å, degrees): 3.535 3.757 6.707 90.00 90.00 90.00
Space group Pmmm (No. 47)
One atom of each set of equivalent atoms:
Gd 0.000 0.000 0.248
Co 0.500 0.500 0.000
Cu 0.500 0.500 0.500
N 0.000 0.500 0.000
N 0.500 0.000 0.500

---

The following is a GGA-PBE calculation of GdCoCuSi2 after structural relaxation, from OQMD.

Computed properties:
- Magnetization: 0.945 Bohr magnetons per cell
- DFT total energy: -5.911 eV per atom

Lattice parameters (Å, degrees): 3.987 3.987 9.670 90.00 90.00 90.00
Space group I-4m2 (No. 119)
One atom of each set of equivalent atoms:
Gd 0.000 0.000 0.000
Co 0.000 0.500 0.750
Cu 0.000 0.500 0.250
Si 0.000 0.000 0.375

---

The following is a GGA-PBE calculation of Gd2TlCoCu after structural relaxation, from OQMD.

Computed properties:
- Magnetization: 0.013 Bohr magnetons per cell
- DFT total energy: -4.778 eV per atom

Lattice parameters (Å, degrees): 3.700 4.066 14.342 90.00 90.00 90.00
Space group Amm2 (No. 38)
One atom of each set of equivalent atoms:
Gd 0.000 0.000 0.000
Gd 0.000 0.000 0.278
Tl 0.500 0.000 0.634
Co 0.500 0.000 0.432
Cu 0.500 0.000 0.839

---

The following is a GGA-PBE calculation of CoCuGe2 after structural relaxation, from OQMD.

Computed properties:
- Magnetization: 0.302 Bohr magnetons per cell
- DFT total energy: -4.645 eV per atom

Lattice parameters (Å, degrees): 6.098 6.098 6.098 90.00 90.00 90.00
Space group F-43m (No. 216)
One atom of each set of equivalent atoms:
Co 0.000 0.000 0.000
Cu 0.250 0.250 0.750
Ge 0.000 0.000 0.500
Ge 0.250 0.250 0.250

---

The following is a GGA-PBE calculation of CoCu5Ge2 after structural relaxation, from OQMD.

Computed properties:
- Magnetization: 1.271 Bohr magnetons per cell
- Offset from the most stable computed form: 0.005 eV/atom
- DFT total energy: -4.253 eV per atom

Lattice parameters (Å, degrees): 4.127 4.127 5.894 90.00 90.00 90.00
Space group P4/mmm (No. 123)
One atom of each set of equivalent atoms:
Co 0.000 0.000 0.000
Cu 0.000 0.500 0.251
Cu 0.500 0.500 0.500
Ge 0.000 0.000 0.500
Ge 0.500 0.500 0.000

---

The following is a GGA-PBE calculation of CoCu5Ge2 after structural relaxation, from OQMD.

Computed properties:
- Magnetization: 1.229 Bohr magnetons per cell
- Offset from the most stable computed form: 0.000 eV/atom
- DFT total energy: -4.257 eV per atom

Lattice parameters (Å, degrees): 4.048 4.048 6.096 90.00 90.00 90.00
Space group P4/mmm (No. 123)
One atom of each set of equivalent atoms:
Co 0.000 0.000 0.000
Cu 0.000 0.500 0.251
Cu 0.500 0.500 0.500
Ge 0.000 0.000 0.500
Ge 0.500 0.500 0.000

---

The following is a GGA-PBE calculation of Co2CuGe2 after structural relaxation, from OQMD.

Computed properties:
- Magnetization: 0.033 Bohr magnetons per cell
- DFT total energy: -5.615 eV per atom

Lattice parameters (Å, degrees): 5.013 3.867 6.675 90.00 90.00 90.00
Space group Pmma (No. 51)
One atom of each set of equivalent atoms:
Co 0.000 0.000 0.000
Co 0.250 0.000 0.340
Cu 0.000 0.500 0.500
Ge 0.250 0.000 0.696
Ge 0.250 0.500 0.121

---

The following is a GGA-PBE calculation of Co3CuGe5 after structural relaxation, from OQMD.

Computed properties:
- Magnetization: 0.009 Bohr magnetons per cell
- DFT total energy: -5.290 eV per atom

Lattice parameters (Å, degrees): 4.9470 4.9470 6.3527 90.00 90.00 120.00
Space group P6/mmm (No. 191)
One atom of each set of equivalent atoms:
Co 0.0000 0.5000 0.0000
Cu 0.0000 0.0000 0.5000
Ge 0.0000 0.0000 0.0000
Ge 0.3333 0.6667 0.3022

---

Q: Number 3 is which compound?
A: Gd2TlCoCu